Crystalline Th2ZnRh4 at its relaxed geometry, computed with PBE.

```
data_Th2ZnRh4
_symmetry_space_group_name_H-M 'P -1'
_symmetry_Int_Tables_number 2
_cell_length_a 4.8861
_cell_length_b 4.9234
_cell_length_c 6.9334
_cell_angle_alpha 72.89
_cell_angle_beta 81.52
_cell_angle_gamma 69.81
loop_
_symmetry_equiv_pos_as_xyz
'x,y,z'
'-x,-y,-z'
loop_
_atom_site_label
_atom_site_fract_x
_atom_site_fract_y
_atom_site_fract_z
Th1 0.0255 0.1442 0.2198
Zn1 0.5000 0.5000 0.5000
Rh1 0.0000 0.5000 0.5000
Rh2 0.3093 0.1892 0.8511
Rh3 0.5000 0.0000 0.5000
```

Output
Formation energy in eV/atom: -0.5764
Total magnetization in μB/f.u.: 0.00
Polymorph energy (0 for the lowest one) in meV per atom: 0
Density in Mg/m³: 10.5
Density of states at the Fermi level in states/eV per cell: 4.6